Entry 1:
Compound: SbPbI2F
Source: the Alexandria database
Functional: PBE-GGA
Structure: relaxed

a b c (Å): 6.1087 6.1087 6.1233
angles (deg): 90.00 90.00 90.00
Sites, in units of the cell vectors:
1 Pb 0.0000 0.0000 0.0000
2 I 0.0000 0.5000 0.0000
3 I 0.5000 0.0000 0.0000
4 F 0.5000 0.5000 0.5000
5 Sb 0.0000 0.0000 0.5000

Computed properties:
- magnetization (μB per cell) = 1.038
- crystal system = tetragonal
- distance to the lowest polymorph of the same formula (eV/f.u.) = 2.88
- space group = P4/mmm, No. 123
- final energy (eV per atom) = -2.367
- E_form (uncorrected) (eV/atom) = 0.194



Entry 2:
Compound: NaYTe2
Source: the Alexandria database
Functional: PBE-GGA
Structure: relaxed

a b c (Å): 19.5255 8.2283 8.2283
angles (deg): 88.66 116.57 63.43
Sites, in units of the cell vectors:
1 Y 0.3717 0.5116 0.2736
2 Y 0.1283 0.7736 0.0116
3 Y 0.6283 0.4884 0.7264
4 Y 0.8717 0.2264 0.9884
5 Y 0.3522 0.0363 0.2611
6 Y 0.1478 0.7611 0.5363
7 Y 0.6478 0.9637 0.7389
8 Y 0.8522 0.2389 0.4637
9 Na 0.1034 0.3102 0.2275
10 Na 0.3966 0.7275 0.8102
11 Na 0.8966 0.6898 0.7725
12 Na 0.6034 0.2725 0.1898
13 Na 0.3983 0.2290 0.8192
14 Na 0.1017 0.3192 0.7290
15 Na 0.6017 0.7710 0.1808
16 Na 0.8983 0.6808 0.2710
17 Te 0.9956 0.7988 0.6172
18 Te 0.5044 0.1172 0.2988
19 Te 0.0044 0.2012 0.3828
20 Te 0.4956 0.8828 0.7012
21 Te 0.7561 0.1224 0.0954
22 Te 0.7439 0.5954 0.6224
23 Te 0.2439 0.8776 0.9046
24 Te 0.2561 0.4046 0.3776
25 Te 0.4950 0.6437 0.2816
26 Te 0.0050 0.7816 0.1437
27 Te 0.5050 0.3563 0.7184
28 Te 0.9950 0.2184 0.8563
29 Te 0.7500 0.1258 0.6258
30 Te 0.2500 0.8742 0.3742
31 Te 0.7500 0.5868 0.0868
32 Te 0.2500 0.4132 0.9132

Computed properties:
- magnetization (μB per cell) = 0.000
- crystal system = monoclinic
- space group = C2/c, No. 15
- final energy (eV per atom) = -4.703
- E_form (uncorrected) (eV/atom) = -1.186



Entry 3:
Compound: AcGa2AgAu4
Source: the Alexandria database
Functional: PBE-GGA
Structure: relaxed

a b c (Å): 4.5620 4.5620 9.8370
angles (deg): 76.59 76.59 60.00
Sites, in units of the cell vectors:
1 Ac 0.0000 0.0000 0.0000
2 Ga 0.7623 0.7623 0.7132
3 Ga 0.2377 0.2377 0.2868
4 Ag 0.5000 0.5000 0.5000
5 Au 0.3983 0.3983 0.8050
6 Au 0.8726 0.8726 0.3822
7 Au 0.1274 0.1274 0.6178
8 Au 0.6017 0.6017 0.1950

Computed properties:
- magnetization (μB per cell) = 0.000
- crystal system = trigonal
- space group = R-3m, No. 166
- final energy (eV per atom) = -3.649
- energy of formation from the pure elements (meV/atom) = -384



Entry 4:
Compound: ZrGaNiIr
Source: the Alexandria database
Functional: PBE-GGA
Structure: relaxed

a b c (Å): 4.0875 4.0878 4.6888
angles (deg): 115.84 115.84 90.00
Sites, in units of the cell vectors:
1 Zr 0.2500 0.7500 0.5000
2 Ga 0.7500 0.2500 0.5000
3 Ni 0.5000 0.5000 0.0000
4 Ir 0.0000 0.0000 0.0000

Computed properties:
- magnetization (μB per cell) = 0.000
- crystal system = tetragonal
- distance to the lowest polymorph of the same formula (eV/f.u.) = 0.00
- space group = I-4m2, No. 119
- final energy (eV per atom) = -7.164
- energy of formation from the pure elements (meV/atom) = -610